Below is a relaxed Ho2Sc3Cd crystal, with properties calculated at the GGA-PBE level.

The calculation puts the uncorrected energy at -4.69 eV per atom. The calculation puts the total magnetization at 0.00 μB per atom. The value obtained for the formation energy is 0.16 eV/atom. The density comes out at 5.9 g/cm³.

It has space group Imm2 (No. 44), with a = 3.2694 Å, b = 16.3157 Å, c = 6.1342 Å, α = 90.00°, β = 90.00° and γ = 90.00°. Symmetry generates all atoms from Ho at (0.0000, 0.1937, 0.0000), Sc at (0.0000, 0.1295, 0.5101), Sc at (0.0000, 0.5000, 0.3017) and Cd at (0.0000, 0.0000, 0.2001).


Below is a relaxed Ho4ScCd3 crystal, with properties calculated at the GGA-PBE level.

The calculation puts the uncorrected energy at -3.61 eV per atom. The calculation puts the total magnetization at 0.04 μB per atom. The value obtained for the formation energy is -0.18 eV/atom. The density comes out at 8.2 g/cm³.

It has space group R-3m (No. 166, hexagonal axes), with a = 5.2775 Å, b = 5.2775 Å, c = 26.2939 Å, α = 90.00°, β = 90.00° and γ = 120.00°. Symmetry generates all atoms from Ho at (0.0000, 0.0000, 0.1196), Ho at (0.0000, 0.0000, 0.3727), Sc at (0.0000, 0.0000, 0.5000), Cd at (0.0000, 0.0000, 0.0000) and Cd at (0.0000, 0.0000, 0.2421).


Below is a relaxed Ho2ScCd crystal, with properties calculated at the GGA-PBE level.

The calculation puts the uncorrected energy at -4.14 eV per atom. For the energy above the most stable polymorph in this dataset, the calculation gives 8.47 kJ/mol of atoms. The calculation puts the total magnetization at 0.00 μB per atom. The value obtained for the formation energy is -0.04 eV/atom. The density comes out at 7.6 g/cm³.

It has space group Fm-3m (No. 225), with a = 7.5175 Å, b = 7.5175 Å, c = 7.5175 Å, α = 90.00°, β = 90.00° and γ = 90.00°. Symmetry generates all atoms from Ho at (0.2500, 0.2500, 0.2500), Sc at (0.0000, 0.0000, 0.0000) and Cd at (0.0000, 0.0000, 0.5000).


Below is a relaxed HoSc6Cd2 crystal, with properties calculated at the GGA-PBE level.

The calculation puts the uncorrected energy at -4.96 eV per atom. The calculation puts the total magnetization at 0.00 μB per atom. The value obtained for the formation energy is -0.03 eV/atom. The density comes out at 5.0 g/cm³.

It has space group C2/c (No. 15), with a = 12.0387 Å, b = 11.0588 Å, c = 8.2629 Å, α = 90.00°, β = 127.19° and γ = 90.00°. Symmetry generates all atoms from Ho at (0.0000, 0.1840, 0.2500), Sc at (0.0445, 0.3770, 0.9668), Sc at (0.1100, 0.0856, 0.6944), Sc at (0.2279, 0.1612, 0.1437) and Cd at (0.1857, 0.4160, 0.4214).